This record from Alexandria describes crystalline NaIn3Sn at its relaxed geometry. The functional is PBE.

Output
ΔE_f in meV per atom: -71
ΔE to the lowest computed polymorph in eV/atom: 0.000
Total magnetic moment in μB per formula unit: 0.0
Theoretical density in Mg/m³: 5.72
Total DFT energy (no corrections) in eV/atom: -2.778

Unit cell a=6.6701 b=9.0423 c=9.6928 alpha=105.19 beta=90.00 gamma=90.00
Element x y z (fractional)
Na 0.9997 0.7152 0.3036
Na 0.0003 0.2848 0.6964
Na 0.4997 0.2848 0.1964
Na 0.5003 0.7152 0.8036
In 0.2422 0.0731 0.3890
In 0.7578 0.9269 0.6110
In 0.7422 0.9269 0.1110
In 0.2578 0.0731 0.8890
In 0.5426 0.6300 0.4384
In 0.4574 0.3700 0.5616
In 0.0426 0.3700 0.0616
In 0.9574 0.6300 0.9384
In 0.9767 0.6322 0.6264
In 0.0233 0.3678 0.3736
In 0.4767 0.3678 0.8736
In 0.5233 0.6322 0.1264
Sn 0.2580 0.8852 0.5933
Sn 0.7420 0.1148 0.4067
Sn 0.7580 0.1148 0.9067
Sn 0.2420 0.8852 0.0933

This record from Alexandria describes crystalline CdAgOs2 at its relaxed geometry. The functional is PBE.

Output
ΔE_f in meV per atom: 563
Total magnetic moment in μB per formula unit: 0.6
Theoretical density in Mg/m³: 14.84
Total DFT energy (no corrections) in eV/atom: -5.994

Unit cell a=2.7821 b=2.7821 c=9.8960 alpha=90.00 beta=90.00 gamma=118.66
Site moments in Bohr magnetons follow the coordinates.
Element x y z (fractional)
Os 0.0000 0.0000 0.0181  0.26
Os 0.5000 0.5000 0.2345  0.28
Ag 0.0000 0.0000 0.4902  0.00
Cd 0.5000 0.5000 0.7571  0.00

This record from Alexandria describes crystalline NpMnCoGe2 at its relaxed geometry. The functional is PBE.

Output
ΔE_f in meV per atom: -194
Total magnetic moment in μB per formula unit: 6.8
Theoretical density in Mg/m³: 9.97
Total DFT energy (no corrections) in eV/atom: -7.884

Unit cell a=3.9371 b=3.9371 c=6.0144 alpha=109.11 beta=109.11 gamma=90.00
Site moments in Bohr magnetons follow the coordinates.
Element x y z (fractional)
Np 0.0000 0.0000 0.0000  3.75
Mn 0.2500 0.7500 0.5000  2.63
Co 0.7500 0.2500 0.5000  0.21
Ge 0.6204 0.6204 0.2408  -0.06
Ge 0.3796 0.3796 0.7592  -0.06

This record from Alexandria describes crystalline DyBe2AlPd5 at its relaxed geometry. The functional is PBE.

Output
ΔE_f in meV per atom: -629
Total magnetic moment in μB per formula unit: 0.0
Theoretical density in Mg/m³: 9.04
Total DFT energy (no corrections) in eV/atom: -5.269

Unit cell a=4.3759 b=4.3759 c=7.0948 alpha=90.00 beta=90.00 gamma=90.00
Element x y z (fractional)
Dy 0.0000 0.0000 0.5000
Be 0.5000 0.5000 0.1603
Be 0.5000 0.5000 0.8397
Al 0.0000 0.0000 0.0000
Pd 0.0000 0.5000 0.2113
Pd 0.5000 0.0000 0.2113
Pd 0.0000 0.5000 0.7887
Pd 0.5000 0.0000 0.7887
Pd 0.5000 0.5000 0.5000

This record from Alexandria describes crystalline NiB at its relaxed geometry. The functional is PBE.

Output
ΔE_f in meV per atom: -125
Total magnetic moment in μB per formula unit: 0.0
Theoretical density in Mg/m³: 6.99
Total DFT energy (no corrections) in eV/atom: -6.354

Unit cell a=3.0029 b=6.2680 c=5.2628 alpha=90.00 beta=90.00 gamma=90.00
Element x y z (fractional)
Ni 0.0000 0.1983 0.9065
Ni 0.0000 0.8017 0.9065
Ni 0.0000 0.6983 0.4065
Ni 0.0000 0.3017 0.4065
Ni 0.5000 0.0000 0.5727
Ni 0.5000 0.5000 0.0727
B 0.5000 0.6492 0.6881
B 0.5000 0.3508 0.6881
B 0.5000 0.1492 0.1881
B 0.5000 0.8508 0.1881
B 0.0000 0.0000 0.2401
B 0.0000 0.5000 0.7401

This record from Alexandria describes crystalline LiAcZn2H8 at its relaxed geometry. The functional is PBE.

Output
Total magnetic moment in μB per formula unit: 0.0
Theoretical density in Mg/m³: 4.58
Total DFT energy (no corrections) in eV/atom: -3.176

Unit cell a=4.7311 b=4.7311 c=6.9777 alpha=90.00 beta=90.00 gamma=120.00
Element x y z (fractional)
Li 0.0000 0.0000 0.5000
Ac 0.0000 0.0000 0.0000
Zn 0.6667 0.3333 0.2743
Zn 0.3333 0.6667 0.7257
H 0.3333 0.6667 0.9801
H 0.3037 0.2809 0.3075
H 0.7191 0.0228 0.3075
H 0.6667 0.3333 0.0199
H 0.2809 0.9772 0.6925
H 0.6963 0.7191 0.6925
H 0.0228 0.3037 0.6925
H 0.9772 0.6963 0.3075

This record from Alexandria describes crystalline PuBeAl2Pd4 at its relaxed geometry. The functional is PBE.

Output
ΔE_f in meV per atom: -648
Total magnetic moment in μB per formula unit: 5.6
Theoretical density in Mg/m³: 9.20
Total DFT energy (no corrections) in eV/atom: -6.437

Unit cell a=4.2372 b=4.2372 c=8.8524 alpha=76.15 beta=76.15 gamma=60.00
Site moments in Bohr magnetons follow the coordinates.
Element x y z (fractional)
Pu 0.0000 0.0000 0.0000  -5.28
Be 0.5000 0.5000 0.5000  -0.01
Al 0.7633 0.7633 0.7100  0.00
Al 0.2367 0.2367 0.2900  0.00
Pd 0.4067 0.4067 0.7798  0.01
Pd 0.8647 0.8647 0.4059  0.00
Pd 0.1353 0.1353 0.5941  0.00
Pd 0.5933 0.5933 0.2202  0.01

This record from Alexandria describes crystalline Sr2Cd10Ag at its relaxed geometry. The functional is PBE.

Output
ΔE_f in meV per atom: -28
Total magnetic moment in μB per formula unit: 0.0
Theoretical density in Mg/m³: 5.92
Total DFT energy (no corrections) in eV/atom: -1.210

Unit cell a=6.1666 b=12.3339 c=10.3709 alpha=90.00 beta=90.00 gamma=90.00
Element x y z (fractional)
Sr 0.5000 0.3694 0.8620
Sr 0.5000 0.6306 0.1380
Sr 0.5000 0.8694 0.6380
Sr 0.5000 0.1306 0.3620
Cd 0.0000 0.1140 0.5386
Cd 0.0000 0.8860 0.4614
Cd 0.0000 0.6140 0.9614
Cd 0.0000 0.3860 0.0386
Cd 0.0000 0.1932 0.8122
Cd 0.0000 0.8068 0.1878
Cd 0.2664 0.1832 0.0671
Cd 0.2664 0.8168 0.9329
Cd 0.7336 0.6832 0.4329
Cd 0.7336 0.3168 0.5671
Cd 0.7336 0.8168 0.9329
Cd 0.7336 0.1832 0.0671
Cd 0.2664 0.3168 0.5671
Cd 0.2664 0.6832 0.4329
Cd 0.0000 0.0493 0.2611
Cd 0.0000 0.9507 0.7389
Cd 0.0000 0.5493 0.2389
Cd 0.0000 0.4507 0.7611
Cd 0.0000 0.3068 0.3122
Cd 0.0000 0.6932 0.6878
Ag 0.0000 0.5000 0.5000
Ag 0.0000 0.0000 0.0000

This record from Alexandria describes crystalline Nb4RuW at its relaxed geometry. The functional is PBE.

Output
ΔE_f in meV per atom: -165
ΔE to the lowest computed polymorph in eV/atom: 0.000
Total magnetic moment in μB per formula unit: 0.0
Theoretical density in Mg/m³: 10.65
Total DFT energy (no corrections) in eV/atom: -10.583

Unit cell a=3.2397 b=7.2661 c=9.1681 alpha=71.52 beta=90.00 gamma=90.00
Element x y z (fractional)
Nb 0.5000 0.3379 0.9144
Nb 0.5000 0.3393 0.4155
Nb 0.5000 0.6621 0.0856
Nb 0.5000 0.6607 0.5845
Nb 0.5000 0.0006 0.2512
Nb 0.5000 0.9994 0.7488
Nb 0.0000 0.0000 0.0000
Nb 0.0000 0.0000 0.5000
Ru 0.0000 0.6648 0.3355
Ru 0.0000 0.3352 0.6645
W 0.0000 0.3352 0.1674
W 0.0000 0.6648 0.8326

This record from Alexandria describes crystalline CdGaHgPb at its relaxed geometry. The functional is PBE.

Output
ΔE_f in meV per atom: 53
ΔE to the lowest computed polymorph in eV/atom: 0.000
Total magnetic moment in μB per formula unit: 0.0
Theoretical density in Mg/m³: 9.84
Total DFT energy (no corrections) in eV/atom: -1.935

Unit cell a=3.5491 b=3.5491 c=7.9053 alpha=90.00 beta=90.00 gamma=90.00
Element x y z (fractional)
Cd 0.5000 0.5000 0.3373
Ga 0.0000 0.0000 0.5462
Hg 0.0000 0.0000 0.0969
Pb 0.5000 0.5000 0.8043

This record from Alexandria describes crystalline BaIn2Os at its relaxed geometry. The functional is PBE.

Output
ΔE_f in meV per atom: 331
Total magnetic moment in μB per formula unit: 0.0
Theoretical density in Mg/m³: 8.57
Total DFT energy (no corrections) in eV/atom: -4.327

Unit cell a=6.5547 b=6.5547 c=6.5547 alpha=151.03 beta=127.04 gamma=61.49
Element x y z (fractional)
Ba 0.2500 0.7500 0.5000
In 0.9475 0.9475 0.0000
In 0.5525 0.5525 0.0000
Os 0.7500 0.2500 0.5000

This record from Alexandria describes crystalline CaReTe2 at its relaxed geometry. The functional is PBE.

Output
Uncorrected formation energy in eV per atom: 0.0726
ΔE to the lowest computed polymorph in eV/atom: 0.287
Total magnetic moment in μB per formula unit: 0.0
Theoretical density in Mg/m³: 8.24
Total DFT energy (no corrections) in eV/atom: -5.111

Unit cell a=5.2559 b=3.5427 c=5.4998 alpha=71.40 beta=90.00 gamma=90.00
Element x y z (fractional)
Re 0.5000 0.8996 0.8247
Ca 0.0000 0.5666 0.4891
Te 0.0000 0.8446 0.9376
Te 0.5000 0.1892 0.2487

Repeat the first record exactly.
This record from Alexandria describes crystalline NaIn3Sn at its relaxed geometry. The functional is PBE.

Output
ΔE_f in meV per atom: -71
ΔE to the lowest computed polymorph in eV/atom: 0.000
Total magnetic moment in μB per formula unit: 0.0
Theoretical density in Mg/m³: 5.72
Total DFT energy (no corrections) in eV/atom: -2.778

Unit cell a=6.6701 b=9.0423 c=9.6928 alpha=105.19 beta=90.00 gamma=90.00
Element x y z (fractional)
Na 0.9997 0.7152 0.3036
Na 0.0003 0.2848 0.6964
Na 0.4997 0.2848 0.1964
Na 0.5003 0.7152 0.8036
In 0.2422 0.0731 0.3890
In 0.7578 0.9269 0.6110
In 0.7422 0.9269 0.1110
In 0.2578 0.0731 0.8890
In 0.5426 0.6300 0.4384
In 0.4574 0.3700 0.5616
In 0.0426 0.3700 0.0616
In 0.9574 0.6300 0.9384
In 0.9767 0.6322 0.6264
In 0.0233 0.3678 0.3736
In 0.4767 0.3678 0.8736
In 0.5233 0.6322 0.1264
Sn 0.2580 0.8852 0.5933
Sn 0.7420 0.1148 0.4067
Sn 0.7580 0.1148 0.9067
Sn 0.2420 0.8852 0.0933

Q: Which of these has the highest theoretical density?
A: CdAgOs2

Q: theoretical density of number 8 (Sr2Cd10Ag)?
A: 5.92 Mg/m³

Q: Which value of total DFT energy (no corrections) does entry 2 give?
A: -5.994 eV/atom